(1)
This record from Alexandria via LeMat-Bulk describes a geometry-optimized Nd5YTl4 structure. The functional is GGA-PBE.

Cell lengths 8.792, 8.429, 9.347 Å; angles 90.00, 90.00, 90.00 degrees
Element x y z (fractional)
Nd  0.733  0.261  0.306
Nd  0.328  0.000  0.500
Nd  0.733  0.739  0.694
Nd  0.733  0.739  0.306
Nd  0.267  0.761  0.806
Nd  0.733  0.261  0.694
Nd  0.267  0.239  0.806
Nd  0.267  0.761  0.194
Nd  0.267  0.239  0.194
Nd  0.672  0.500  0.000
Tl  0.435  0.667  0.500
Tl  0.565  0.833  0.000
Tl  0.999  0.000  0.666
Tl  0.999  0.000  0.334
Tl  0.565  0.167  0.000
Tl  0.435  0.333  0.500
Tl  0.001  0.500  0.166
Tl  0.001  0.500  0.834
Y  0.085  0.500  0.500
Y  0.915  0.000  0.000

DFT total energy	-80.51	eV for the cell shown
SG	Pmmn (59)
formation energy from the elements	-0.048	eV/atom
volume	692.7	Å³/cell

(2)
This record from Alexandria via LeMat-Bulk describes a geometry-optimized Sc2TaSb structure. The functional is GGA-PBE.

Cell lengths 3.129, 3.129, 8.950 Å; angles 90.00, 90.00, 90.00 degrees
Element x y z (fractional)
Sc  0.000  0.000  0.013
Sc  0.000  0.000  0.487
Ta  0.500  0.500  0.250
Sb  0.500  0.500  0.750

DFT total energy	-29.27	eV for the cell shown
SG	P4/mmm (123)
volume	87.6	Å³/cell
uncorrected formation energy	-159	meV/atom

(3)
This record from Alexandria via LeMat-Bulk describes a geometry-optimized Ba2NCl4 structure. The functional is GGA-PBE.

Cell lengths 4.675, 4.675, 9.218 Å; angles 75.31, 75.31, 90.00 degrees
Each line ends with the local moment (μB).
Element x y z (fractional)
Ba  0.374  0.374  0.251  0.00
Ba  0.626  0.626  0.749  0.00
Cl  0.000  0.500  0.000  0.05
Cl  0.808  0.808  0.385  0.00
Cl  0.500  0.000  0.000  0.05
Cl  0.192  0.192  0.615  0.00
N  0.000  0.000  0.000  0.66

DFT total energy	-27.80	eV for the cell shown
SG	I4/mmm (139)
volume	188.1	Å³/cell
uncorrected formation energy	-1177	meV/atom

(4)
This record from Alexandria via LeMat-Bulk describes a geometry-optimized NaBeNb2Br structure. The functional is GGA-PBE.

Cell lengths 4.364, 6.393, 4.364 Å; angles 90.00, 90.00, 90.00 degrees
Element x y z (fractional)
Be  0.000  0.000  0.000
Nb  0.000  0.000  0.500
Nb  0.500  0.000  0.000
Br  0.000  0.500  0.000
Na  0.500  0.500  0.500

DFT total energy	-21.88	eV for the cell shown
SG	P4/mmm (123)
volume	121.8	Å³/cell
uncorrected formation energy	995	meV/atom

(5)
This record from Alexandria via LeMat-Bulk describes a geometry-optimized AsHIrOsAu structure. The functional is GGA-PBE.

Cell lengths 4.400, 4.714, 4.633 Å; angles 121.72, 92.18, 107.34 degrees
Element x y z (fractional)
Ir  0.542  0.519  0.340
Au  0.158  0.056  0.488
As  0.960  0.309  0.049
Os  0.520  0.808  0.985
H  0.182  0.777  0.807

DFT total energy	-29.15	eV for the cell shown
SG	P1 (1)
volume	75.7	Å³/cell
offset from the most stable computed form	0.169	eV per atom

(6)
This record from Alexandria via LeMat-Bulk describes a geometry-optimized Sr2Zn12Ni5 structure. The functional is GGA-PBE.

Cell lengths 6.739, 6.739, 6.739 Å; angles 84.13, 84.13, 84.13 degrees
Element x y z (fractional)
Ni  0.000  0.500  0.000
Ni  0.902  0.902  0.902
Ni  0.500  0.000  0.000
Ni  0.098  0.098  0.098
Ni  0.000  0.000  0.500
Zn  0.664  0.124  0.664
Zn  0.281  0.000  0.719
Zn  0.719  0.000  0.281
Zn  0.281  0.719  0.000
Zn  0.336  0.876  0.336
Zn  0.876  0.336  0.336
Zn  0.124  0.664  0.664
Zn  0.719  0.281  0.000
Zn  0.664  0.664  0.124
Zn  0.336  0.336  0.876
Zn  0.000  0.281  0.719
Zn  0.000  0.719  0.281
Sr  0.344  0.344  0.344
Sr  0.656  0.656  0.656

DFT total energy	-51.57	eV for the cell shown
SG	R-3m (166)
formation energy from the elements	-0.211	eV/atom
volume	301.5	Å³/cell

(7)
This record from Alexandria via LeMat-Bulk describes a geometry-optimized CsCo structure. The functional is GGA-PBE.

Cell lengths 7.540, 7.540, 7.098 Å; angles 90.00, 90.00, 90.00 degrees
Each line ends with the local moment (μB).
Element x y z (fractional)
Cs  0.687  0.687  0.500  0.00
Cs  0.187  0.813  0.000  0.00
Cs  0.313  0.313  0.500  0.00
Cs  0.813  0.187  0.000  0.00
Co  0.597  0.597  0.000  1.93
Co  0.903  0.097  0.500  1.93
Co  0.097  0.903  0.500  1.93
Co  0.403  0.403  0.000  1.93

DFT total energy	-22.53	eV for the cell shown
SG	P4_2/mnm (136)
formation energy from the elements	1.164	eV/atom
volume	403.5	Å³/cell
offset from the most stable computed form	0.473	eV per atom

(8)
This record from Alexandria via LeMat-Bulk describes a geometry-optimized Ac2HgSe structure. The functional is GGA-PBE.

Cell lengths 4.479, 4.480, 8.417 Å; angles 74.57, 74.57, 60.01 degrees
Element x y z (fractional)
Ac  0.745  0.745  0.765
Ac  0.255  0.255  0.235
Se  0.000  0.000  0.000
Hg  0.500  0.500  0.500

DFT total energy	-16.42	eV for the cell shown
SG	R-3m (166)
volume	139.2	Å³/cell
offset from the most stable computed form	0.000	eV per atom
uncorrected formation energy	-1103	meV/atom

(9)
This record from Alexandria via LeMat-Bulk describes a geometry-optimized Sm3As2PtRh9 structure. The functional is GGA-PBE.

Cell lengths 5.584, 5.584, 11.204 Å; angles 90.00, 90.00, 120.00 degrees
Element x y z (fractional)
Rh  0.679  0.840  0.312
Rh  0.321  0.160  0.688
Rh  0.840  0.679  0.688
Rh  0.160  0.321  0.312
Rh  0.500  0.000  0.000
Rh  0.160  0.840  0.312
Rh  0.840  0.160  0.688
Rh  0.000  0.500  0.000
Rh  0.500  0.500  0.000
Pt  0.000  0.000  0.500
As  0.667  0.333  0.839
As  0.333  0.667  0.161
Sm  0.333  0.667  0.578
Sm  0.000  0.000  0.000
Sm  0.667  0.333  0.422

DFT total energy	-100.86	eV for the cell shown
SG	P-3m1 (164)
formation energy from the elements	-0.347	eV/atom
volume	302.5	Å³/cell

(10)
This record from Alexandria via LeMat-Bulk describes a geometry-optimized NdErMnAg structure. The functional is GGA-PBE.

Cell lengths 5.152, 5.152, 5.152 Å; angles 60.00, 60.00, 60.00 degrees
Each line ends with the local moment (μB).
Element x y z (fractional)
Er  0.500  0.500  0.500  -0.25
Mn  0.250  0.250  0.250  3.60
Nd  0.000  0.000  0.000  -0.17
Ag  0.750  0.750  0.750  -0.02

DFT total energy	-21.27	eV for the cell shown
SG	F-43m (216)
formation energy from the elements	0.021	eV/atom
volume	96.7	Å³/cell

(11)
This record from Alexandria via LeMat-Bulk describes a geometry-optimized CaLaHg structure. The functional is GGA-PBE.

Cell lengths 5.312, 5.312, 5.310 Å; angles 89.99, 120.05, 119.98 degrees
Element x y z (fractional)
Hg  0.444  0.222  0.667
La  0.945  0.472  0.417
Ca  0.944  0.972  0.916

DFT total energy	-7.96	eV for the cell shown
SG	R3m (160)
formation energy from the elements	-0.244	eV/atom
volume	105.9	Å³/cell
offset from the most stable computed form	0.105	eV per atom

(12)
This record from Alexandria via LeMat-Bulk describes a geometry-optimized Zr2CuPb structure. The functional is GGA-PBE.

Cell lengths 3.172, 3.172, 8.290 Å; angles 90.00, 90.00, 89.95 degrees
Element x y z (fractional)
Cu  0.500  0.500  0.250
Pb  0.500  0.500  0.750
Zr  0.000  0.000  0.460
Zr  0.000  0.000  0.040

DFT total energy	-25.23	eV for the cell shown
SG	P4/mmm (123)
formation energy from the elements	-0.081	eV/atom
volume	83.4	Å³/cell

(13)
This record from Alexandria via LeMat-Bulk describes a geometry-optimized ZrNi2Cl structure. The functional is GGA-PBE.

Cell lengths 3.804, 3.804, 6.030 Å; angles 89.92, 89.92, 59.95 degrees
Element x y z (fractional)
Ni  0.876  0.876  0.110
Ni  0.209  0.209  0.228
Cl  0.874  0.874  0.730
Zr  0.541  0.541  0.432

DFT total energy	-23.27	eV for the cell shown
SG	Cm (8)
volume	75.5	Å³/cell
offset from the most stable computed form	0.000	eV per atom
uncorrected formation energy	-328	meV/atom